# PBE Al2SnHgPd, relaxed
# Formation enthalpy at 0 K: 2.74 eV per formula unit
# DOS(E_F): 2.0 states/eV/f.u.
# DFT total energy: -2.85 eV/atom
# Volume: 124.91 Å³/f.u.
data_Al2SnHgPd
_space_group_name_H-M_alt 'P 4/m m m'
_space_group_IT_number 123
_space_group_name_Hall '-P 4 2'
_cell_length_a 4.893
_cell_length_b 4.893
_cell_length_c 5.217
_cell_angle_alpha 90.00
_cell_angle_beta 90.00
_cell_angle_gamma 90.00
loop_
_atom_site_label
_atom_site_type_symbol
_atom_site_fract_x
_atom_site_fract_y
_atom_site_fract_z
Al1 Al 0.000 0.500 0.000
Sn1 Sn 0.000 0.000 0.500
Hg1 Hg 0.500 0.500 0.000
Pd1 Pd 0.500 0.500 0.500

***

# PBE BaPa2FeN5, relaxed
# DOS(E_F): 4.5 states/eV/f.u.
# DFT total energy: -8.96 eV/atom
# Volume: 126.89 Å³/f.u.
data_BaPa2FeN5
_space_group_name_H-M_alt 'I 4/m c m'
_space_group_IT_number 140
_space_group_name_Hall '-I 4 2c'
_cell_length_a 6.673
_cell_length_b 6.673
_cell_length_c 11.400
_cell_angle_alpha 90.00
_cell_angle_beta 90.00
_cell_angle_gamma 90.00
loop_
_atom_site_label
_atom_site_type_symbol
_atom_site_fract_x
_atom_site_fract_y
_atom_site_fract_z
Ba1 Ba 0.000 0.000 0.250
Pa1 Pa 0.185 0.315 0.000
Fe1 Fe 0.000 0.500 0.250
N1 N 0.000 0.000 0.000
N2 N 0.133 0.367 0.370

***

The highest DFT total energy belongs to which entry?
Al2SnHgPd

***

What is the DFT total energy in the first record?
-2.85 eV/atom